The following is a PBE+U calculation of crystalline CoTePbO at its relaxed geometry, from OQMD.

Computed properties:
**E_tot**: -4.617 eV/atom

The structure in CIF format:
```
data_CoTePbO
_cell_length_a 3.912
_cell_length_b 3.912
_cell_length_c 10.518
_cell_angle_alpha 90.00
_cell_angle_beta 90.00
_cell_angle_gamma 90.00
_symmetry_space_group_name_H-M 'P 4/n m m'
_symmetry_Int_Tables_number 129
loop_
_symmetry_equiv_pos_as_xyz
'x,y,z'
'-x,-y,-z'
'-y+1/2,x,z'
'y+1/2,-x,-z'
'-x+1/2,-y+1/2,z'
'x+1/2,y+1/2,-z'
'y,-x+1/2,z'
'-y,x+1/2,-z'
'x+1/2,-y,-z'
'-x+1/2,y,z'
'-y,-x,-z'
'y,x,z'
'-x,y+1/2,-z'
'x,-y+1/2,z'
'y+1/2,x+1/2,-z'
'-y+1/2,-x+1/2,z'
loop_
_atom_site_label
_atom_site_type_symbol
_atom_site_fract_x
_atom_site_fract_y
_atom_site_fract_z
_atom_site_occupancy
Co1 Co 0.250 0.250 0.130 1
Te1 Te 0.250 0.250 0.884 1
Pb1 Pb 0.250 0.250 0.383 1
O1 O 0.250 0.750 0.500 1
```